# 1
RbPa2FeS8 PBE optimized geometry; crystal system = trigonal; formation energy without anion corrections = -1.0175 eV per atom; symmetry = No. 164; volume = 23.9 Å³ per atom
1.0
-3.125 -0.267 -4.989
3.518 -4.477 1.516
-7.199 -4.057 4.726
Rb Pa Fe S
1 2 1 8
Cartesian
-3.600 -2.029 2.363
-1.744 -2.140 -2.273
-5.061 -6.661 3.526
0.000 0.000 0.000
-6.445 -6.617 0.910
-6.634 -4.341 2.577
-8.134 -4.469 0.183
-0.360 -2.184 0.342
-0.171 -4.461 -1.324
1.328 -4.333 1.070
-3.577 -3.173 -1.070
-3.229 -5.628 2.323


# 2
La2InHgIr PBE optimized geometry; ΔE_f = -0.468 eV/atom; crystal system = tetragonal; symmetry = No. 123; volume = 31.8 Å³ per atom; ΔE to the lowest computed polymorph = 156 meV/atom
1.0
5.540 0.000 0.000
0.000 5.540 0.000
0.000 0.000 5.185
Ir In Hg La
1 1 1 2
Cartesian
0.000 0.000 0.000
0.000 0.000 2.593
2.770 2.770 2.593
0.000 2.770 0.000
2.770 0.000 0.000


# 3
YMgSc2Au4 PBE optimized geometry; ΔE_f = -0.770 eV/atom; crystal system = trigonal; symmetry = No. 166; volume = 20.3 Å³ per atom
1.0
-0.534 -4.504 1.576
2.890 -3.471 -1.628
6.009 -1.155 6.050
Y Mg Sc Au
1 1 2 4
Cartesian
0.000 0.000 0.000
4.182 -4.565 2.999
6.183 -6.873 4.393
2.182 -2.256 1.604
5.984 -4.046 5.091
4.309 -7.413 2.217
4.055 -1.717 3.781
2.381 -5.084 0.906


# 4
Hg3BiI PBE optimized geometry; crystal system = trigonal; formation energy without anion corrections = -0.0519 eV per atom; symmetry = No. 167; volume = 38.5 Å³ per atom; ΔE to the lowest computed polymorph = 0 meV/atom
1.0
-4.282 3.090 -6.257
-6.623 -3.910 -2.807
-7.471 3.110 1.240
Hg Bi I
6 2 2
Cartesian
-8.118 -1.391 -2.564
-7.988 2.813 -1.638
-6.545 1.400 -5.442
-10.173 -0.553 -6.100
-10.045 3.660 -5.169
-11.621 0.860 -2.287
-18.273 2.277 -7.780
-9.085 1.132 -3.868
-13.680 1.705 -5.824
-4.492 0.560 -1.912


| no. | DOS(E_F) (states/eV per cell) | magnetization (μB/f.u.) | raw total energy (eV per atom) |
| --- | --- | --- | --- |
| 1 | 4.45 | 1.948 | -6.14 |
| 2 | 5.77 | 0.000 | -4.82 |
| 3 | 4.38 | 0.000 | -5.00 |
| 4 | 3.26 | 0.000 | -1.32 |